(P)
Cr3C2 at its PBEsol-relaxed geometry. Source: the Alexandria database, functional SCAN.

Cell: 5.4188 2.7603 11.3563 Å, 90.00 90.00 90.00°
Closest atoms and distances in Å follow each position.
Space group Pnma (No. 62)
One atom of each set of equivalent atoms:
Cr1 0.0143 0.2500 0.0973 (multiplicity 4)  3 C 2.00-2.23
Cr2 0.1323 0.7500 0.4318 (multiplicity 4)  5 C 2.00-2.06
Cr3 0.1854 0.2500 0.7264 (multiplicity 4)  5 C 1.98-2.09
C1 0.0988 0.2500 0.2978 (multiplicity 4)  6 Cr 1.98-2.09
C2 0.2388 0.2500 0.5489 (multiplicity 4)  7 Cr 2.00-2.23

Computed properties:
- density (g cm⁻³) = 7.0
- magnetization (μB per atom) = 0.00


(Q)
Cr3C2 at its PBEsol-relaxed geometry. Source: the Alexandria database, functional SCAN.

Cell: 2.7851 9.1151 6.8342 Å, 90.00 90.00 90.00°
Closest atoms and distances in Å follow each position.
Space group Cmcm (No. 63)
One atom of each set of equivalent atoms:
Cr1 0.0000 0.0988 0.2500 (multiplicity 4)  4 C 1.93-1.94
Cr2 0.0000 0.3566 0.0702 (multiplicity 8)  4 C 1.97-2.11
C1 0.0000 0.0000 0.0000 (multiplicity 4)  6 Cr 1.93-1.97
C2 0.0000 0.2533 0.7500 (multiplicity 4)  6 Cr 1.94-2.11

Computed properties:
- density (g cm⁻³) = 6.9
- magnetization (μB per atom) = 0.00


In terms of stability, (P) leads; the second structure lies 0.039 eV/atom higher.